# CuHSe2N | Alexandria via LeMat-Bulk | PBE-GGA | optimized geometry
# **Raw total energy**: -0.2635 Ry per atom
# **Distance to the lowest polymorph of the same formula**: 0.0000 eV/atom
data_CuHSe2N
_chemical_formula_sum 'Cu1 H1 Se2 N1'
_symmetry_space_group_name_H-M 'P 4/m m m'
_symmetry_Int_Tables_number 123
_symmetry_space_group_name_Hall '-P 4 2'
_cell_length_a 4.878
_cell_length_b 4.878
_cell_length_c 2.658
_cell_angle_alpha 90.00
_cell_angle_beta 90.00
_cell_angle_gamma 90.00
loop_
_atom_site_label
_atom_site_fract_x
_atom_site_fract_y
_atom_site_fract_z
_atom_site_occupancy
Cu1 0.000 0.000 0.000 1
H1 0.500 0.500 0.500 1
Se1 0.000 0.500 0.500 1
N1 0.500 0.500 0.000 1